# PrErTm2Tl4

PrErTm2Tl4 after structural relaxation (PBE, Alexandria via LeMat-Bulk).

The structure belongs to space group R-3m (No. 166, hexagonal axes); the cell edges are 5.3756, 5.3756 and 26.4991 Å and the angles 90.00°, 90.00° and 120.00°. Symmetry generates all atoms from Pr at (0.0000, 0.0000, 0.0000), Er at (0.0000, 0.0000, 0.5000), Tm at (0.0000, 0.0000, 0.2492), Tl at (0.0000, 0.0000, 0.1272) and Tl at (0.0000, 0.0000, 0.3774).

The density of states at the Fermi level comes out at 6.1 states/eV/f.u. Its final energy is -3.79 eV/atom. For the magnetic moment, the calculation gives 0.000 μB per atom. For the energy of formation from the pure elements, the calculation gives -317.4 meV per atom.